The following is a DFT calculation (PBE) of crystalline NaDy2Ge3Pt4 at its relaxed geometry.

extended XYZ file:
```
10
Lattice="-0.6392 -2.1683 3.4736 3.5235 -2.0825 -0.6515 5.6295 7.6977 5.8409" Properties=species:S:1:pos:R:3 pbc="T T T"
Pt 3.7099 1.6226 1.6956
Pt 3.3617 3.9497 5.5564
Pt 0.0000 0.0000 0.0000
Pt 1.4421 -2.1254 1.4111
Ge 2.4975 -0.0352 0.4376
Ge 2.8147 3.8489 2.9205
Ge 4.5741 5.6076 6.8144
Dy 6.0525 4.8259 4.1262
Dy 1.0191 0.7464 3.1258
Na 4.2569 1.7235 4.3315
```

Values from the calculation:
DFT formation energy (eV per atom): -0.766
Magnetic moment (μB per cell): 0.0